1.
DFT (PBE-GGA) results for a geometry-optimized Zn2FeTc structure.

Results
* total moment: 2.69 μB/f.u.
* calculated total energy: -5.215 eV/atom
* ΔH_f (0 K): 0.52 eV per formula unit

Unit cell a=8.8888 b=8.8888 c=8.8888 alpha=17.48 beta=17.48 gamma=17.48
Last column: magnetic moment on the atom in μB.
Atoms (fractional coordinates):
Fe 0.7500 0.7500 0.7500  2.62
Tc 0.2500 0.2500 0.2500  0.11
Zn 0.0023 0.0023 0.0023  -0.02
Zn 0.4977 0.4977 0.4977  -0.02

***

2.
DFT (PBE-GGA) results for a geometry-optimized CePuTe6 structure.

Results
* raw formation energy: -0.85 eV/atom
* total moment: 5.44 μB/f.u.
* calculated total energy: -5.737 eV/atom

Unit cell a=4.3966 b=4.3972 c=13.4451 alpha=90.00 beta=99.41 gamma=90.00
Last column: magnetic moment on the atom in μB.
Atoms (fractional coordinates):
Ce 0.1718 0.5000 0.3437  -0.56
Pu 0.8284 0.0000 0.6568  -5.15
Te 0.5792 0.5000 0.1584  0.02
Te 0.4201 0.0000 0.8402  0.05
Te 0.2954 0.5000 0.5908  0.13
Te 0.7057 0.0000 0.4115  0.06
Te 0.9202 0.5000 0.8403  0.05
Te 0.0792 0.0000 0.1583  0.02

***

3.
DFT (PBE-GGA) results for a geometry-optimized LiNbAu4 structure.

Results
* total moment: 0.00 μB/f.u.
* calculated total energy: -4.420 eV/atom
* ΔH_f (0 K): -1.43 eV per formula unit

Unit cell a=4.0718 b=2.8652 c=8.8831 alpha=90.00 beta=90.00 gamma=90.00
Atoms (fractional coordinates):
Li 0.5000 0.5000 0.5000
Nb 0.0000 0.0000 0.0000
Au 0.0000 0.0000 0.6573
Au 0.5000 0.5000 0.8332
Au 0.5000 0.5000 0.1668
Au 0.0000 0.0000 0.3427

***

4.
DFT (PBE-GGA) results for a geometry-optimized TbPm2Ag structure.

Results
* total moment: 0.00 μB/f.u.
* calculated total energy: -4.177 eV/atom
* ΔH_f (0 K): 0.28 eV per formula unit

Unit cell a=5.4736 b=5.4736 c=5.4736 alpha=60.00 beta=60.00 gamma=60.00
Atoms (fractional coordinates):
Tb 0.0000 0.0000 0.0000
Ag 0.5000 0.5000 0.5000
Pm 0.2500 0.2500 0.2500
Pm 0.7500 0.7500 0.7500

***

5.
DFT (PBE-GGA) results for a geometry-optimized PuZn2Ga4Cu structure.

Results
* total moment: 5.47 μB/f.u.
* calculated total energy: -4.252 eV/atom
* ΔH_f (0 K): -0.93 eV per formula unit

Unit cell a=4.4164 b=4.4164 c=8.7961 alpha=75.46 beta=75.46 gamma=60.00
Last column: magnetic moment on the atom in μB.
Atoms (fractional coordinates):
Pu 0.0000 0.0000 0.0000  5.24
Zn 0.7425 0.7425 0.7724  -0.01
Zn 0.2575 0.2575 0.2276  -0.01
Ga 0.3968 0.3968 0.8095  -0.01
Ga 0.8665 0.8665 0.4004  0.01
Ga 0.1335 0.1335 0.5996  0.01
Ga 0.6032 0.6032 0.1905  -0.01
Cu 0.5000 0.5000 0.5000  0.01

***

6.
DFT (PBE-GGA) results for a geometry-optimized LiZnSb structure.

Results
* raw formation energy: -0.19 eV/atom
* total moment: 0.00 μB/f.u.
* calculated total energy: -2.625 eV/atom

Unit cell a=4.4232 b=4.4232 c=4.0717 alpha=90.00 beta=90.00 gamma=120.00
Atoms (fractional coordinates):
Li 0.0000 0.0000 0.9732
Sb 0.6667 0.3333 0.4479
Zn 0.3333 0.6667 0.5789

***

7.
DFT (PBE-GGA) results for a geometry-optimized KRe3 structure.

Results
* total moment: 0.00 μB/f.u.
* calculated total energy: -7.582 eV/atom
* ΔH_f (0 K): 8.11 eV per formula unit

Unit cell a=5.1743 b=5.1743 c=5.1743 alpha=90.00 beta=90.00 gamma=90.00
Atoms (fractional coordinates):
K 0.0000 0.0000 0.0000
K 0.5000 0.5000 0.5000
Re 0.7500 0.5000 0.0000
Re 0.2500 0.5000 0.0000
Re 0.0000 0.7500 0.5000
Re 0.0000 0.2500 0.5000
Re 0.5000 0.0000 0.2500
Re 0.5000 0.0000 0.7500

***

8.
DFT (PBE-GGA) results for a geometry-optimized BiH4Cl structure.

Results
* total moment: 0.00 μB/f.u.
* calculated total energy: -3.381 eV/atom

Unit cell a=11.5453 b=10.1574 c=11.2661 alpha=151.40 beta=111.96 gamma=94.32
Atoms (fractional coordinates):
Bi 0.2686 0.6334 0.5270
Bi 0.7313 0.3665 0.4728
H 0.8673 0.3309 0.9710
H 0.1551 0.8115 0.2014
H 0.6128 0.2827 0.8856
H 0.3872 0.7174 0.1145
H 0.1327 0.6691 0.0290
H 0.6931 0.5520 0.0941
H 0.3069 0.4481 0.9060
H 0.8448 0.1885 0.7986
Cl 0.7264 0.8119 0.9680
Cl 0.2736 0.1881 0.0320

***

9.
DFT (PBE-GGA) results for a geometry-optimized ScNi structure.

Results
* total moment: 0.00 μB/f.u.
* calculated total energy: -6.356 eV/atom
* ΔH_f (0 K): -0.60 eV per formula unit

Unit cell a=10.0647 b=8.1579 c=6.6797 alpha=90.00 beta=90.00 gamma=90.00
Atoms (fractional coordinates):
Sc 0.0000 0.2039 0.0000
Sc 0.0000 0.7961 0.0000
Sc 0.2500 0.5461 0.2500
Sc 0.2500 0.9539 0.2500
Sc 0.0000 0.7039 0.5000
Sc 0.0000 0.2961 0.5000
Sc 0.2500 0.0461 0.7500
Sc 0.2500 0.4539 0.7500
Sc 0.5000 0.2039 0.5000
Sc 0.5000 0.7961 0.5000
Sc 0.7500 0.5461 0.7500
Sc 0.7500 0.9539 0.7500
Sc 0.5000 0.7039 0.0000
Sc 0.5000 0.2961 0.0000
Sc 0.7500 0.0461 0.2500
Sc 0.7500 0.4539 0.2500
Ni 0.0000 0.0000 0.3197
Ni 0.0000 0.0000 0.6803
Ni 0.2500 0.7500 0.9303
Ni 0.2500 0.7500 0.5697
Ni 0.0000 0.5000 0.8197
Ni 0.0000 0.5000 0.1803
Ni 0.2500 0.2500 0.4303
Ni 0.2500 0.2500 0.0697
Ni 0.5000 0.0000 0.8197
Ni 0.5000 0.0000 0.1803
Ni 0.7500 0.7500 0.4303
Ni 0.7500 0.7500 0.0697
Ni 0.5000 0.5000 0.3197
Ni 0.5000 0.5000 0.6803
Ni 0.7500 0.2500 0.9303
Ni 0.7500 0.2500 0.5697

***

10.
DFT (PBE-GGA) results for a geometry-optimized Ba2BeMo structure.

Results
* total moment: 2.98 μB/f.u.
* calculated total energy: -3.474 eV/atom
* ΔH_f (0 K): 4.51 eV per formula unit

Unit cell a=5.6790 b=5.6790 c=3.9285 alpha=90.00 beta=90.00 gamma=90.00
Last column: magnetic moment on the atom in μB.
Atoms (fractional coordinates):
Be 0.5000 0.0000 0.5000  -0.05
Mo 0.0000 0.5000 0.5000  2.70
Ba 0.0000 0.0000 0.0000  0.00
Ba 0.5000 0.5000 0.0000  0.00

***

11.
DFT (PBE-GGA) results for a geometry-optimized La3BiF structure.

Results
* raw formation energy: -1.31 eV/atom
* total moment: 0.00 μB/f.u.
* calculated total energy: -5.417 eV/atom

Unit cell a=5.1498 b=5.1498 c=5.1498 alpha=90.00 beta=90.00 gamma=90.00
Atoms (fractional coordinates):
F 0.0000 0.0000 0.0000
Bi 0.5000 0.5000 0.5000
La 0.0000 0.5000 0.0000
La 0.0000 0.0000 0.5000
La 0.5000 0.0000 0.0000

***

12.
DFT (PBE-GGA) results for a geometry-optimized Ho2Th2Sb5 structure.

Results
* raw formation energy: -0.85 eV/atom
* total moment: 0.00 μB/f.u.
* calculated total energy: -5.809 eV/atom

Unit cell a=8.2667 b=8.8781 c=8.8781 alpha=124.60 beta=90.00 gamma=90.00
Atoms (fractional coordinates):
Ho 0.3456 0.1519 0.1519
Ho 0.6544 0.8481 0.8481
Ho 0.8456 0.3481 0.3481
Ho 0.1544 0.6519 0.6519
Th 0.0000 0.8064 0.1936
Th 0.5000 0.3064 0.6936
Th 0.0000 0.1936 0.8064
Th 0.5000 0.6936 0.3064
Sb 0.0000 0.0000 0.0000
Sb 0.5000 0.5000 0.5000
Sb 0.1517 0.2100 0.4830
Sb 0.8483 0.5170 0.7900
Sb 0.6517 0.0170 0.2900
Sb 0.3483 0.7100 0.9830
Sb 0.8483 0.7900 0.5170
Sb 0.1517 0.4830 0.2100
Sb 0.3483 0.9830 0.7100
Sb 0.6517 0.2900 0.0170